No. 1
Below is crystalline Ce3HgGe at its relaxed geometry, with properties calculated at the PBE level.

Cell: 5.709 5.837 8.639 Å, 70.85 85.30 66.96°
Sites, in units of the cell vectors:
Ce1 0.101 0.307 0.393
Ce2 0.193 0.894 0.710
Ce3 0.273 0.217 0.998
Ce4 0.727 0.783 0.002
Ce5 0.807 0.106 0.290
Ce6 0.899 0.693 0.607
Hg1 0.458 0.742 0.364
Hg2 0.542 0.258 0.636
Ge1 0.254 0.667 0.110
Ge2 0.746 0.333 0.890

Energy of formation from the pure elements: -1.9 eV per formula unit
Distance to the lowest polymorph of the same formula: 0 meV/atom

***

No. 2
Below is crystalline BaRh4Cl at its relaxed geometry, with properties calculated at the PBE level.

Cell: 5.497 5.497 5.497 Å, 60.00 60.00 60.00°
Sites, in units of the cell vectors:
Ba1 0.000 0.000 0.000
Rh1 0.375 0.375 0.375
Rh2 0.375 0.375 0.876
Rh3 0.375 0.876 0.375
Rh4 0.876 0.375 0.375
Cl1 0.750 0.750 0.750

E: -0.3813 Ry per atom

***

No. 3
Below is crystalline Ba2C at its relaxed geometry, with properties calculated at the PBE level.

Cell: 7.724 7.724 5.055 Å, 90.00 90.00 120.00°
Sites, in units of the cell vectors:
Ba1 0.000 0.290 0.000
Ba2 0.000 0.629 0.500
Ba3 0.290 0.000 0.000
Ba4 0.371 0.371 0.500
Ba5 0.629 0.000 0.500
Ba6 0.710 0.710 0.000
C1 0.000 0.000 0.500
C2 0.333 0.667 0.000
C3 0.667 0.333 0.000

Energy of formation from the pure elements: 2.3 eV per formula unit
Distance to the lowest polymorph of the same formula: 629 meV/atom

***

No. 4
Below is crystalline CeHo6Se8 at its relaxed geometry, with properties calculated at the PBE level.

Cell: 8.108 8.108 8.108 Å, 60.00 60.00 60.00°
Sites, in units of the cell vectors:
Ce1 0.000 0.000 0.000
Ho1 0.000 0.000 0.500
Ho2 0.000 0.500 0.000
Ho3 0.000 0.500 0.500
Ho4 0.500 0.000 0.000
Ho5 0.500 0.000 0.500
Ho6 0.500 0.500 0.000
Se1 0.250 0.250 0.250
Se2 0.260 0.260 0.740
Se3 0.260 0.740 0.260
Se4 0.260 0.740 0.740
Se5 0.740 0.260 0.260
Se6 0.740 0.260 0.740
Se7 0.740 0.740 0.260
Se8 0.750 0.750 0.750

E: -0.4317 Ry per atom

***

No. 5
Below is crystalline MgSbAs2 at its relaxed geometry, with properties calculated at the PBE level.

Cell: 4.982 4.982 4.982 Å, 60.00 60.00 60.00°
Sites, in units of the cell vectors:
Mg1 0.000 0.000 0.000
Sb1 0.750 0.750 0.750
As1 0.250 0.250 0.250
As2 0.500 0.500 0.500

Distance to the lowest polymorph of the same formula: 352 meV/atom

***

No. 6
Below is crystalline LaSc4W at its relaxed geometry, with properties calculated at the PBE level.

Cell: 5.832 5.832 5.832 Å, 60.00 60.00 60.00°
Sites, in units of the cell vectors:
La1 0.000 0.000 0.000
Sc1 0.133 0.622 0.622
Sc2 0.622 0.133 0.622
Sc3 0.622 0.622 0.133
Sc4 0.622 0.622 0.622
W1 0.250 0.250 0.250

Energy of formation from the pure elements: 3.8 eV per formula unit